## MnSb4Cl (PBE-GGA)

Data for an optimized crystal structure of MnSb4Cl.

Structure (CIF):
```
data_MnSb4Cl
_space_group_name_H-M_alt 'F -4 3 m'
_space_group_IT_number 216
_space_group_name_Hall 'F -4 2 3'
_cell_length_a 8.798
_cell_length_b 8.798
_cell_length_c 8.798
_cell_angle_alpha 90.00
_cell_angle_beta 90.00
_cell_angle_gamma 90.00
loop_
_atom_site_label
_atom_site_type_symbol
_atom_site_fract_x
_atom_site_fract_y
_atom_site_fract_z
Mn1 Mn 0.000 0.000 0.000
Sb1 Sb 0.120 0.120 0.620
Cl1 Cl 0.250 0.250 0.250
```

Computed properties:
The calculation puts the density of states at the Fermi level at 14.5 states/eV/cell. Its formation energy without anion corrections is 370.9 meV/atom.